Below is crystalline Cu3NiO at its relaxed geometry, with properties calculated at the PBE with a Hubbard U level.

Properties
The density of states at the Fermi level comes out at 5.95 states/eV/cell. The energy comes out at -12.42 eV for the cell shown.

Geometry as CIF:
```
data_Cu3NiO
_cell_length_a 4.2847
_cell_length_b 4.2847
_cell_length_c 4.2847
_cell_angle_alpha 90.00
_cell_angle_beta 90.00
_cell_angle_gamma 90.00
_symmetry_space_group_name_H-M 'P 1'
_symmetry_Int_Tables_number 1
loop_
_symmetry_equiv_pos_as_xyz
'x,y,z'
loop_
_atom_site_label
_atom_site_fract_x
_atom_site_fract_y
_atom_site_fract_z
Ni1 0.0000 0.0000 0.0000
O1 0.5000 0.5000 0.5000
Cu1 0.0000 0.0000 0.5000
Cu2 0.5000 0.0000 0.0000
Cu3 0.0000 0.5000 0.0000
```